Record 1
A plane-wave DFT calculation with PBE was carried out for Ru2Pt after structural relaxation.

abc: 5.934 5.934 5.934
angles: 90.00 90.00 90.00
Space group Fm-3m (No. 225)
Inequivalent atoms, fractional coordinates:
Ru  0.250  0.250  0.250
Pt  0.000  0.000  0.000

Output
The calculation puts the energy of formation at 835 meV/atom. The value obtained for the density of states at the Fermi level is 2.26 states/eV/atom. For the energy above the lowest structure with this stoichiometry, the calculation gives 854 meV/atom. The magnetic moment is 0.00 μB per cell.

Record 2
A plane-wave DFT calculation with PBE was carried out for RuPt3 after structural relaxation.

abc: 2.770 2.770 7.937
angles: 90.00 90.00 90.00
Space group P4/mmm (No. 123)
Inequivalent atoms, fractional coordinates:
Ru  0.000  0.000  0.000
Pt  0.000  0.000  0.500
Pt  0.500  0.500  0.238

Output
The calculation puts the energy of formation at -14 meV/atom. The value obtained for the density of states at the Fermi level is 1.59 states/eV/atom. The magnetic moment is 0.01 μB per cell.

Record 3
A plane-wave DFT calculation with PBE was carried out for Ru2Pt after structural relaxation.

abc: 5.0283 5.0283 8.3634
angles: 90.00 90.00 120.00
Space group P6_3/mmc (No. 194)
Inequivalent atoms, fractional coordinates:
Ru  0.0000  0.0000  0.0000
Ru  0.1721  0.3441  0.2500
Pt  0.3333  0.6667  0.5797

Output
The calculation puts the energy of formation at 414 meV/atom. The value obtained for the density of states at the Fermi level is 1.61 states/eV/atom. For the energy above the lowest structure with this stoichiometry, the calculation gives 433 meV/atom. The magnetic moment is 0.68 μB per cell.

Record 4
A plane-wave DFT calculation with PBE was carried out for Ru2Pt after structural relaxation.

abc: 4.3739 4.3739 5.3706
angles: 90.00 90.00 120.00
Space group P6_3/mmc (No. 194)
Inequivalent atoms, fractional coordinates:
Ru  0.0000  0.0000  0.0000
Ru  0.3333  0.6667  0.2500
Pt  0.3333  0.6667  0.7500

Output
The calculation puts the energy of formation at 296 meV/atom. The value obtained for the density of states at the Fermi level is 1.56 states/eV/atom. For the energy above the lowest structure with this stoichiometry, the calculation gives 315 meV/atom. The magnetic moment is 0.00 μB per cell.

Record 5
A plane-wave DFT calculation with PBE was carried out for Ru3Pt after structural relaxation.

abc: 5.448 7.727 2.719
angles: 90.00 90.00 90.00
Space group Cmmm (No. 65)
Inequivalent atoms, fractional coordinates:
Ru  0.000  0.000  0.000
Ru  0.250  0.250  0.500
Pt  0.000  0.500  0.000

Output
The calculation puts the energy of formation at 73 meV/atom. The value obtained for the density of states at the Fermi level is 1.02 states/eV/atom. The magnetic moment is 0.00 μB per cell.

Record 6
A plane-wave DFT calculation with PBE was carried out for Ru3Pt after structural relaxation.

abc: 2.758 4.361 4.760
angles: 90.00 90.00 90.00
Space group Pmm2 (No. 25)
Inequivalent atoms, fractional coordinates:
Ru  0.000  0.000  0.000
Ru  0.000  0.500  0.328
Ru  0.500  0.500  0.837
Pt  0.500  0.000  0.502

Output
The calculation puts the energy of formation at 44 meV/atom. The value obtained for the density of states at the Fermi level is 1.15 states/eV/atom. The magnetic moment is 0.00 μB per cell.

Record 7
A plane-wave DFT calculation with PBE was carried out for RuPt5 after structural relaxation.

abc: 2.778 2.778 11.957
angles: 90.00 90.00 90.00
Space group P4/mmm (No. 123)
Inequivalent atoms, fractional coordinates:
Ru  0.000  0.000  0.000
Pt  0.000  0.000  0.329
Pt  0.500  0.500  0.157
Pt  0.500  0.500  0.500

Output
The calculation puts the energy of formation at -18 meV/atom. The value obtained for the density of states at the Fermi level is 1.69 states/eV/atom. The magnetic moment is 0.00 μB per cell.

Record 8
A plane-wave DFT calculation with PBE was carried out for Ru3Pt after structural relaxation.

abc: 2.747 8.757 4.761
angles: 90.00 90.00 90.00
Space group Imm2 (No. 44)
Inequivalent atoms, fractional coordinates:
Ru  0.000  0.000  0.000
Ru  0.000  0.254  0.664
Pt  0.000  0.500  0.002

Output
The calculation puts the energy of formation at 53 meV/atom. The value obtained for the density of states at the Fermi level is 1.19 states/eV/atom. The magnetic moment is 0.00 μB per cell.